1.
Crystalline Sc2ZnSb at its relaxed geometry. Source: the Alexandria database, functional GGA-PBEsol.

Computed properties:
formation energy (no corrections)	-248	meV/atom
energy relative to the lowest polymorph listed for this composition	1.60	eV/f.u.

Structure (CIF):
```
data_Sc2ZnSb
_chemical_formula_sum 'Sc4 Zn2 Sb2'
_cell_length_a 4.866
_cell_length_b 4.891
_cell_length_c 7.106
_cell_angle_alpha 90.00
_cell_angle_beta 90.00
_cell_angle_gamma 90.00
_symmetry_space_group_name_H-M 'C m m 2'
_symmetry_Int_Tables_number 35
loop_
_symmetry_equiv_pos_as_xyz
'x,y,z'
'-x,-y,z'
'-x,y,z'
'x,-y,z'
'x+1/2,y+1/2,z'
'-x+1/2,-y+1/2,z'
'-x+1/2,y+1/2,z'
'x+1/2,-y+1/2,z'
loop_
_atom_site_label
_atom_site_fract_x
_atom_site_fract_y
_atom_site_fract_z
Sc1 0.000 0.000 0.000
Sc2 0.000 0.500 0.287
Zn1 0.000 0.500 0.783
Sb1 0.000 0.000 0.557
```

=====

2.
Crystalline Mg2CoIrO6 at its relaxed geometry. Source: the Alexandria database, functional GGA-PBEsol.

Computed properties:
formation energy (no corrections)	-1566	meV/atom

Structure (CIF):
```
data_Mg2CoIrO6
_chemical_formula_sum 'Mg4 Co2 Ir2 O12'
_cell_length_a 4.965
_cell_length_b 5.188
_cell_length_c 8.799
_cell_angle_alpha 90.00
_cell_angle_beta 123.90
_cell_angle_gamma 90.00
_symmetry_space_group_name_H-M 'P 1 21/c 1'
_symmetry_Int_Tables_number 14
loop_
_symmetry_equiv_pos_as_xyz
'x,y,z'
'-x,-y,-z'
'-x,y+1/2,-z+1/2'
'x,-y+1/2,z+1/2'
loop_
_atom_site_label
_atom_site_fract_x
_atom_site_fract_y
_atom_site_fract_z
Mg1 0.233 0.065 0.247
Co1 0.000 0.000 0.500
Ir1 0.500 0.000 0.000
O1 0.106 0.193 0.932
O2 0.243 0.680 0.930
O3 0.377 0.067 0.744
```

=====

3.
Crystalline CaCrIr2 at its relaxed geometry. Source: the Alexandria database, functional GGA-PBEsol.

Computed properties:
energy of formation from the pure elements	-86	meV per atom
energy relative to the lowest polymorph listed for this composition	0.00	eV/f.u.

Structure (CIF):
```
data_CaCrIr2
_chemical_formula_sum 'Ca1 Cr1 Ir2'
_cell_length_a 2.895
_cell_length_b 2.895
_cell_length_c 7.518
_cell_angle_alpha 90.00
_cell_angle_beta 90.00
_cell_angle_gamma 90.00
_symmetry_space_group_name_H-M 'P 4/m m m'
_symmetry_Int_Tables_number 123
_symmetry_space_group_name_Hall '-P 4 2'
loop_
_atom_site_label
_atom_site_fract_x
_atom_site_fract_y
_atom_site_fract_z
Ca1 0.000 0.000 0.000
Cr1 0.000 0.000 0.500
Ir1 0.500 0.500 0.300
```

=====

4.
Crystalline YZnPb at its relaxed geometry. Source: the Alexandria database, functional GGA-PBEsol.

Computed properties:
energy of formation from the pure elements	-376	meV per atom

Structure (CIF):
```
data_YZnPb
_chemical_formula_sum 'Y1 Zn1 Pb1'
_cell_length_a 4.4886
_cell_length_b 4.4886
_cell_length_c 4.0266
_cell_angle_alpha 90.00
_cell_angle_beta 90.00
_cell_angle_gamma 120.00
_symmetry_space_group_name_H-M 'P 3 m 1'
_symmetry_Int_Tables_number 156
loop_
_symmetry_equiv_pos_as_xyz
'x,y,z'
'-y,x-y,z'
'-x+y,-x,z'
'-y,-x,z'
'-x+y,y,z'
'x,x-y,z'
loop_
_atom_site_label
_atom_site_fract_x
_atom_site_fract_y
_atom_site_fract_z
Y1 0.0000 0.0000 0.0000
Zn1 0.3333 0.6667 0.3624
Pb1 0.6667 0.3333 0.5535
```

=====

Table of DOS(E_F) (states/eV per cell), in record order: 8.8, 11.2, 3.2, 1.2